[1]
First-principles (PBE) data for a geometry-optimized Sr2NiRuN structure, as listed in Alexandria via LeMat-Bulk.

Properties
**Crystal system**: tetragonal
**Formation energy (no corrections)**: -0.6 eV/f.u.
**Fermi-level density of states**: 3.7 states/eV/cell
**Space-group type**: P4/mmm
**Magnetization**: 0.41 μB per formula unit
**Calculated total energy**: -0.4015 Ry/atom

a = 5.327 Å, b = 5.327 Å, c = 3.790 Å
α = 90.00°, β = 90.00°, γ = 90.00°
Site moments in Bohr magnetons follow the coordinates.
Fractional coordinates of all 5 atoms:
Sr 0.500 0.000 0.000  -0.01
Sr 0.000 0.500 0.000  -0.01
Ni 0.500 0.500 0.500  0.41
Ru 0.000 0.000 0.500  0.11
N 0.000 0.000 0.000  0.00

[2]
First-principles (PBE) data for a geometry-optimized NiTeRuN2 structure, as listed in Alexandria via LeMat-Bulk.

Properties
**Crystal system**: tetragonal
**Formation energy (no corrections)**: 7.5 eV/f.u.
**Fermi-level density of states**: 6.9 states/eV/cell
**Space-group type**: P4/mmm
**Magnetization**: 0.00 μB per formula unit
**Calculated total energy**: -0.4017 Ry/atom

a = 3.668 Å, b = 3.668 Å, c = 5.541 Å
α = 90.00°, β = 90.00°, γ = 90.00°
Fractional coordinates of all 5 atoms:
Ru 0.500 0.500 0.500
Ni 0.000 0.000 0.000
N 0.500 0.000 0.000
N 0.000 0.500 0.000
Te 0.000 0.000 0.500

[3]
First-principles (PBE) data for a geometry-optimized NiTeRuN2 structure, as listed in Alexandria via LeMat-Bulk.

Properties
**Crystal system**: tetragonal
**Formation energy (no corrections)**: 4.2 eV/f.u.
**Fermi-level density of states**: 5.3 states/eV/cell
**Space-group type**: P4/mmm
**Magnetization**: 0.21 μB per formula unit
**Calculated total energy**: -0.4502 Ry/atom

a = 3.743 Å, b = 3.743 Å, c = 5.850 Å
α = 90.00°, β = 90.00°, γ = 90.00°
Site moments in Bohr magnetons follow the coordinates.
Fractional coordinates of all 5 atoms:
Te 0.000 0.000 0.500  0.00
N 0.500 0.000 0.000  0.00
N 0.000 0.500 0.000  0.00
Ru 0.000 0.000 0.000  -0.01
Ni 0.500 0.500 0.500  0.21

[4]
First-principles (PBE) data for a geometry-optimized TlNi2RuN structure, as listed in Alexandria via LeMat-Bulk.

Properties
**Crystal system**: tetragonal
**Formation energy (no corrections)**: 3.2 eV/f.u.
**Fermi-level density of states**: 5.2 states/eV/cell
**Space-group type**: P4/mmm
**Magnetization**: 0.94 μB per formula unit
**Calculated total energy**: -0.4165 Ry/atom

a = 3.744 Å, b = 5.049 Å, c = 3.744 Å
α = 90.00°, β = 90.00°, γ = 90.00°
Site moments in Bohr magnetons follow the coordinates.
Fractional coordinates of all 5 atoms:
Tl 0.000 0.500 0.000  -0.03
Ru 0.500 0.500 0.500  0.86
Ni 0.000 0.000 0.500  0.01
Ni 0.500 0.000 0.000  0.07
N 0.000 0.000 0.000  0.02

[5]
First-principles (PBE) data for a geometry-optimized TlNi2RuN structure, as listed in Alexandria via LeMat-Bulk.

Properties
**Crystal system**: tetragonal
**Formation energy (no corrections)**: 1.1 eV/f.u.
**Fermi-level density of states**: 2.9 states/eV/cell
**Space-group type**: P4/mmm
**Magnetization**: 0.00 μB per formula unit
**Calculated total energy**: -0.4476 Ry/atom

a = 3.977 Å, b = 3.977 Å, c = 4.038 Å
α = 90.00°, β = 90.00°, γ = 90.00°
Fractional coordinates of all 5 atoms:
Ru 0.000 0.000 0.500
Ni 0.500 0.000 0.000
Ni 0.000 0.500 0.000
N 0.000 0.000 0.000
Tl 0.500 0.500 0.500

[6]
First-principles (PBE) data for a geometry-optimized NiRu2WN structure, as listed in Alexandria via LeMat-Bulk.

Properties
**Crystal system**: tetragonal
**Formation energy (no corrections)**: 13.2 eV/f.u.
**Fermi-level density of states**: 5.2 states/eV/cell
**Space-group type**: P4/mmm
**Magnetization**: 3.67 μB per formula unit
**Calculated total energy**: -0.4768 Ry/atom

a = 4.690 Å, b = 4.556 Å, c = 4.690 Å
α = 90.00°, β = 90.00°, γ = 90.00°
Site moments in Bohr magnetons follow the coordinates.
Fractional coordinates of all 5 atoms:
W 0.000 0.000 0.000  -0.24
N 0.500 0.500 0.500  1.36
Ru 0.000 0.000 0.500  0.96
Ru 0.500 0.000 0.000  0.92
Ni 0.000 0.500 0.000  0.15

[7]
First-principles (PBE) data for a geometry-optimized ZnNiRu2N structure, as listed in Alexandria via LeMat-Bulk.

Properties
**Crystal system**: tetragonal
**Formation energy (no corrections)**: 0.4 eV/f.u.
**Fermi-level density of states**: 5.1 states/eV/cell
**Space-group type**: P4/mmm
**Magnetization**: 0.00 μB per formula unit
**Calculated total energy**: -0.4932 Ry/atom

a = 4.027 Å, b = 4.027 Å, c = 3.765 Å
α = 90.00°, β = 90.00°, γ = 90.00°
Fractional coordinates of all 5 atoms:
N 0.000 0.000 0.000
Ru 0.000 0.500 0.000
Ru 0.500 0.000 0.000
Zn 0.500 0.500 0.500
Ni 0.000 0.000 0.500

[8]
First-principles (PBE) data for a geometry-optimized NiSN2 structure, as listed in Alexandria via LeMat-Bulk.

Properties
**Crystal system**: tetragonal
**Formation energy (no corrections)**: 4.4 eV/f.u.
**Fermi-level density of states**: 1.7 states/eV/cell
**Space-group type**: I-42d
**Magnetization**: 0.00 μB per formula unit
**Calculated total energy**: -0.4075 Ry/atom

a = 4.259 Å, b = 4.259 Å, c = 5.589 Å
α = 67.60°, β = 67.60°, γ = 90.00°
Fractional coordinates of all 8 atoms:
S 0.500 0.500 0.000
S 0.250 0.750 0.500
Ni 0.750 0.250 0.500
Ni 0.000 0.000 0.000
N 0.141 0.625 0.250
N 0.609 0.125 0.250
N 0.375 0.391 0.750
N 0.875 0.859 0.750

[9]
First-principles (PBE) data for a geometry-optimized Ni2SN structure, as listed in Alexandria via LeMat-Bulk.

Properties
**Crystal system**: tetragonal
**Formation energy (no corrections)**: 0.2 eV/f.u.
**Fermi-level density of states**: 7.3 states/eV/cell
**Space-group type**: I-42d
**Magnetization**: 0.00 μB per formula unit
**Calculated total energy**: -0.4382 Ry/atom

a = 4.468 Å, b = 4.468 Å, c = 5.954 Å
α = 67.96°, β = 67.96°, γ = 90.00°
Fractional coordinates of all 8 atoms:
Ni 0.375 0.457 0.750
Ni 0.875 0.793 0.750
Ni 0.543 0.125 0.250
Ni 0.207 0.625 0.250
N 0.500 0.500 0.000
N 0.250 0.750 0.500
S 0.750 0.250 0.500
S 0.000 0.000 0.000

[10]
First-principles (PBE) data for a geometry-optimized NiSN2 structure, as listed in Alexandria via LeMat-Bulk.

Properties
**Crystal system**: triclinic
**Formation energy (no corrections)**: 0.1 eV/f.u.
**Fermi-level density of states**: 2.6 states/eV/cell
**Space-group type**: P1
**Magnetization**: 0.50 μB per formula unit
**Calculated total energy**: -0.4859 Ry/atom

a = 3.629 Å, b = 3.653 Å, c = 10.194 Å
α = 114.06°, β = 78.28°, γ = 60.32°
Site moments in Bohr magnetons follow the coordinates.
Fractional coordinates of all 4 atoms:
S 0.342 0.750 0.179  0.10
Ni 0.666 0.096 0.184  0.32
N 0.705 0.499 0.744  0.00
N 0.986 0.081 0.631  0.00

[11]
First-principles (PBE) data for a geometry-optimized NiSN2 structure, as listed in Alexandria via LeMat-Bulk.

Properties
**Crystal system**: trigonal
**Formation energy (no corrections)**: 3.1 eV/f.u.
**Fermi-level density of states**: 2.2 states/eV/cell
**Space-group type**: R-3m
**Magnetization**: 0.00 μB per formula unit
**Calculated total energy**: -0.4303 Ry/atom

a = 5.674 Å, b = 5.674 Å, c = 5.674 Å
α = 30.26°, β = 30.26°, γ = 30.26°
Fractional coordinates of all 4 atoms:
N 0.106 0.106 0.106
N 0.894 0.894 0.894
Ni 0.500 0.500 0.500
S 0.000 0.000 0.000

[12]
First-principles (PBE) data for a geometry-optimized NiSN3 structure, as listed in Alexandria via LeMat-Bulk.

Properties
**Crystal system**: cubic
**Formation energy (no corrections)**: 10.8 eV/f.u.
**Fermi-level density of states**: 6.0 states/eV/cell
**Space-group type**: Pm-3m
**Magnetization**: 0.00 μB per formula unit
**Calculated total energy**: -0.3540 Ry/atom

a = 3.684 Å, b = 3.684 Å, c = 3.684 Å
α = 90.00°, β = 90.00°, γ = 90.00°
Fractional coordinates of all 5 atoms:
N 0.000 0.000 0.500
N 0.000 0.500 0.000
N 0.500 0.000 0.000
S 0.500 0.500 0.500
Ni 0.000 0.000 0.000

Copy entry 5 word for word.
First-principles (PBE) data for a geometry-optimized TlNi2RuN structure, as listed in Alexandria via LeMat-Bulk.

Properties
**Crystal system**: tetragonal
**Formation energy (no corrections)**: 1.1 eV/f.u.
**Fermi-level density of states**: 2.9 states/eV/cell
**Space-group type**: P4/mmm
**Magnetization**: 0.00 μB per formula unit
**Calculated total energy**: -0.4476 Ry/atom

a = 3.977 Å, b = 3.977 Å, c = 4.038 Å
α = 90.00°, β = 90.00°, γ = 90.00°
Fractional coordinates of all 5 atoms:
Ru 0.000 0.000 0.500
Ni 0.500 0.000 0.000
Ni 0.000 0.500 0.000
N 0.000 0.000 0.000
Tl 0.500 0.500 0.500

Q: The highest calculated total energy belongs to which entry?
A: NiSN3

Q: Among the records above, which one has the lowest calculated total energy?
A: ZnNiRu2N

Q: What is the formula in the sixth record?
A: NiRu2WN